# 1
A plane-wave DFT calculation with GGA-PBE was carried out for a geometry-optimized Cs8Rb3Au structure.

Geometry as CIF:
```
data_Cs8Rb3Au
_symmetry_space_group_name_H-M 'P 1'
_symmetry_Int_Tables_number 1
_cell_length_a 10.715
_cell_length_b 15.586
_cell_length_c 15.586
_cell_angle_alpha 120.00
_cell_angle_beta 90.00
_cell_angle_gamma 90.00
loop_
_symmetry_equiv_pos_as_xyz
'x,y,z'
loop_
_atom_site_label
_atom_site_type_symbol
_atom_site_fract_x
_atom_site_fract_y
_atom_site_fract_z
Cs1 Cs 0.986 0.061 0.530
Cs2 Cs 0.986 0.470 0.939
Cs3 Cs 0.986 0.470 0.530
Cs4 Cs 0.486 0.939 0.470
Cs5 Cs 0.486 0.530 0.061
Cs6 Cs 0.486 0.530 0.470
Cs7 Cs 0.777 0.433 0.216
Cs8 Cs 0.777 0.784 0.567
Cs9 Cs 0.777 0.784 0.216
Cs10 Cs 0.277 0.567 0.784
Cs11 Cs 0.277 0.216 0.433
Cs12 Cs 0.277 0.216 0.784
Cs13 Cs 0.699 0.333 0.667
Cs14 Cs 0.199 0.667 0.333
Cs15 Cs 0.993 0.000 0.000
Cs16 Cs 0.493 0.000 0.000
Rb1 Rb 0.742 0.695 0.847
Rb2 Rb 0.742 0.153 0.305
Rb3 Rb 0.742 0.153 0.847
Rb4 Rb 0.242 0.305 0.153
Rb5 Rb 0.242 0.847 0.695
Rb6 Rb 0.242 0.847 0.153
Au1 Au 0.068 0.333 0.667
Au2 Au 0.568 0.667 0.333
```

Computed properties:
Formation energy from the elements   -0.04 eV per atom
SG   P6_3mc (186)

# 2
A plane-wave DFT calculation with GGA-PBE was carried out for a geometry-optimized CaZr2Br structure.

Geometry as CIF:
```
data_CaZr2Br
_symmetry_space_group_name_H-M 'P 1'
_symmetry_Int_Tables_number 1
_cell_length_a 5.258
_cell_length_b 5.258
_cell_length_c 5.258
_cell_angle_alpha 60.00
_cell_angle_beta 60.00
_cell_angle_gamma 60.00
loop_
_symmetry_equiv_pos_as_xyz
'x,y,z'
loop_
_atom_site_label
_atom_site_type_symbol
_atom_site_fract_x
_atom_site_fract_y
_atom_site_fract_z
Ca1 Ca 0.750 0.750 0.750
Br1 Br 0.500 0.500 0.500
Zr1 Zr 0.000 0.000 0.000
Zr2 Zr 0.250 0.250 0.250
```

Computed properties:
SG   F-43m (216)
E_form (uncorrected)   0.424 eV/atom
Polymorph energy (0 for the lowest one)   730.1 meV per atom

Please write out number 1 again, unchanged.
A plane-wave DFT calculation with GGA-PBE was carried out for a geometry-optimized Cs8Rb3Au structure.

Geometry as CIF:
```
data_Cs8Rb3Au
_symmetry_space_group_name_H-M 'P 1'
_symmetry_Int_Tables_number 1
_cell_length_a 10.715
_cell_length_b 15.586
_cell_length_c 15.586
_cell_angle_alpha 120.00
_cell_angle_beta 90.00
_cell_angle_gamma 90.00
loop_
_symmetry_equiv_pos_as_xyz
'x,y,z'
loop_
_atom_site_label
_atom_site_type_symbol
_atom_site_fract_x
_atom_site_fract_y
_atom_site_fract_z
Cs1 Cs 0.986 0.061 0.530
Cs2 Cs 0.986 0.470 0.939
Cs3 Cs 0.986 0.470 0.530
Cs4 Cs 0.486 0.939 0.470
Cs5 Cs 0.486 0.530 0.061
Cs6 Cs 0.486 0.530 0.470
Cs7 Cs 0.777 0.433 0.216
Cs8 Cs 0.777 0.784 0.567
Cs9 Cs 0.777 0.784 0.216
Cs10 Cs 0.277 0.567 0.784
Cs11 Cs 0.277 0.216 0.433
Cs12 Cs 0.277 0.216 0.784
Cs13 Cs 0.699 0.333 0.667
Cs14 Cs 0.199 0.667 0.333
Cs15 Cs 0.993 0.000 0.000
Cs16 Cs 0.493 0.000 0.000
Rb1 Rb 0.742 0.695 0.847
Rb2 Rb 0.742 0.153 0.305
Rb3 Rb 0.742 0.153 0.847
Rb4 Rb 0.242 0.305 0.153
Rb5 Rb 0.242 0.847 0.695
Rb6 Rb 0.242 0.847 0.153
Au1 Au 0.068 0.333 0.667
Au2 Au 0.568 0.667 0.333
```

Computed properties:
Formation energy from the elements   -0.04 eV per atom
SG   P6_3mc (186)